Run one
First-principles (PBE-GGA) data for a geometry-optimized CaMnSb2I structure, as listed in Alexandria via LeMat-Bulk.

a b c (Å): 5.0465 5.0465 6.1862
angles (deg): 90.00 90.00 90.00
Element x y z (fractional)
Ca 0.0000 0.0000 0.0000
Mn 0.5000 0.5000 0.5000
Sb 0.0000 0.5000 0.5000
Sb 0.5000 0.0000 0.5000
I 0.5000 0.5000 0.0000

**Size of the total moment**: 3.7 μB per formula unit
**Volume**: 157.5 Å³ per cell

---

Run two
First-principles (PBE-GGA) data for a geometry-optimized CaMnSb2I structure, as listed in Alexandria via LeMat-Bulk.

a b c (Å): 5.8855 5.8855 5.8327
angles (deg): 90.00 90.00 90.00
Element x y z (fractional)
Ca 0.0000 0.0000 0.0000
Mn 0.5000 0.5000 0.5000
Sb 0.0000 0.5000 0.0000
Sb 0.5000 0.0000 0.0000
I 0.0000 0.0000 0.5000

**Size of the total moment**: 4.0 μB per formula unit
**Volume**: 202.0 Å³ per cell

---

Most stable structure: run one

---

Run one
First-principles (PBE-GGA) data for a geometry-optimized CaMo2I structure, as listed in Alexandria via LeMat-Bulk.

a b c (Å): 4.7924 4.7924 4.7924
angles (deg): 60.00 60.00 60.00
Element x y z (fractional)
Ca 0.0000 0.0000 0.0000
Mo 0.2500 0.2500 0.2500
Mo 0.7500 0.7500 0.7500
I 0.5000 0.5000 0.5000

**Size of the total moment**: 2.5 μB per formula unit
**Volume**: 77.8 Å³ per cell

---

Run two
First-principles (PBE-GGA) data for a geometry-optimized CaMo2I structure, as listed in Alexandria via LeMat-Bulk.

a b c (Å): 11.7159 11.7159 11.7159
angles (deg): 160.21 160.21 28.13
Element x y z (fractional)
Ca 0.0000 0.0000 0.0000
Ca 0.7500 0.2500 0.5000
Mo 0.1809 0.6250 0.0559
Mo 0.3750 0.4309 0.5559
Mo 0.5691 0.1250 0.9441
Mo 0.8750 0.8191 0.4441
I 0.2500 0.7500 0.5000
I 0.5000 0.5000 0.0000

**Size of the total moment**: 0.0 μB per formula unit
**Volume**: 184.2 Å³ per cell

---

Most stable structure: run two

---

Run one
First-principles (PBE-GGA) data for a geometry-optimized CaMoIN2 structure, as listed in Alexandria via LeMat-Bulk.

a b c (Å): 4.5371 4.5371 6.5216
angles (deg): 90.00 90.00 90.00
Element x y z (fractional)
Ca 0.0000 0.0000 0.0000
Mo 0.5000 0.5000 0.5000
I 0.0000 0.0000 0.5000
N 0.0000 0.5000 0.0000
N 0.5000 0.0000 0.0000

**Size of the total moment**: 8.6 μB per formula unit
**Volume**: 134.2 Å³ per cell

---

Run two
First-principles (PBE-GGA) data for a geometry-optimized CaMoIN2 structure, as listed in Alexandria via LeMat-Bulk.

a b c (Å): 4.0858 4.0858 5.6058
angles (deg): 90.00 90.00 90.00
Element x y z (fractional)
Ca 0.0000 0.0000 0.0000
Mo 0.5000 0.5000 0.5000
I 0.5000 0.5000 0.0000
N 0.0000 0.5000 0.5000
N 0.5000 0.0000 0.5000

**Size of the total moment**: 0.0 μB per formula unit
**Volume**: 93.6 Å³ per cell

---

Most stable structure: run two